Entry from Alexandria via LeMat-Bulk: LiMn4B4O12 after structural relaxation (PBE with a Hubbard U).

abc: 5.246 5.827 9.432
angles: 69.48 110.53 112.86
Each line ends with the local moment (μB).
Fractional coordinates of all 21 atoms:
1 B 0.247 0.318 0.945  0.02
2 O 0.075 0.303 0.561  -0.03
3 O 0.847 0.679 0.426  -0.02
4 O 0.276 0.959 0.653  -0.04
5 O 0.665 0.822 0.087  -0.03
6 Mn 0.689 0.349 0.364  3.94
7 O 0.874 0.481 0.187  -0.05
8 Mn 0.822 0.152 0.142  3.98
9 O 0.164 0.233 0.082  -0.04
10 B 0.243 0.184 0.542  0.03
11 B 0.828 0.699 0.067  0.03
12 Mn 0.302 0.872 0.894  4.60
13 Li 0.747 0.526 0.802  0.00
14 O 0.645 0.018 0.331  -0.04
15 O 0.586 0.706 0.580  0.00
16 O 0.131 0.494 0.821  0.02
17 O 0.346 0.274 0.414  -0.03
18 B 0.680 0.796 0.448  0.02
19 O 0.466 0.248 0.935  0.04
20 Mn 0.205 0.638 0.602  3.96
21 O 0.910 0.765 0.934  0.01

Results
Relative energy among the computed polymorphs   0 meV/atom
DFT total energy   -0.55884 Ry per atom